A plane-wave DFT calculation with PBE was carried out for crystalline AcScRu at its relaxed geometry.

Values from the calculation:
- Calculated volume: 451.1 Å³ per cell
- ΔH_f (0 K): -286 meV/atom
- D(E_F): 1.857 states/eV/f.u.
- Symmetry: P2_1/m (11)
- E: -6.858 eV per atom

Unit cell a=4.347 b=7.648 c=13.572 alpha=90.47 beta=90.00 gamma=90.00
Positions (direct):
Ac1 0.750 0.644 0.086
Ac2 0.250 0.994 0.711
Ac3 0.750 0.517 0.376
Ac4 0.250 0.483 0.624
Ac5 0.750 0.006 0.289
Ac6 0.250 0.356 0.914
Ru1 0.250 0.218 0.424
Ru2 0.750 0.782 0.576
Ru3 0.750 0.294 0.755
Ru4 0.250 0.706 0.245
Ru5 0.250 0.790 0.907
Ru6 0.750 0.210 0.093
Sc1 0.250 0.862 0.464
Sc2 0.750 0.655 0.799
Sc3 0.750 0.138 0.536
Sc4 0.250 0.987 0.084
Sc5 0.750 0.013 0.916
Sc6 0.250 0.345 0.201



A plane-wave DFT calculation with PBE was carried out for crystalline K3Tb3MoS8 at its relaxed geometry.

Values from the calculation:
- Calculated volume: 403.7 Å³ per cell
- D(E_F): 6.287 states/eV/f.u.
- Symmetry: R-3m (166)
- E: -5.618 eV per atom

Unit cell a=7.874 b=7.874 c=8.788 alpha=116.63 beta=90.00 gamma=120.00
Positions (direct):
K1 0.000 0.000 0.000
K2 0.000 0.500 0.000
K3 0.500 0.500 0.000
Tb1 0.000 0.500 0.500
Tb2 0.500 0.500 0.500
Tb3 0.500 0.000 0.500
S1 0.265 0.531 0.296
S2 0.757 0.973 0.689
S3 0.216 0.432 0.689
S4 0.243 0.027 0.311
S5 0.216 0.973 0.689
S6 0.735 0.469 0.704
S7 0.784 0.027 0.311
S8 0.784 0.568 0.311
Mo1 0.000 0.000 0.500



A plane-wave DFT calculation with PBE was carried out for crystalline Ac2In3Hg2 at its relaxed geometry.

Values from the calculation:
- Calculated volume: 209.8 Å³ per cell
- ΔH_f (0 K): -394 meV/atom
- D(E_F): 4.354 states/eV/f.u.
- Symmetry: C2/m (12)
- Offset from the most stable computed form: 0.027 eV/atom
- E: -2.828 eV per atom

Unit cell a=4.806 b=6.385 c=7.477 alpha=98.52 beta=90.00 gamma=112.11
Positions (direct):
Hg1 0.104 0.207 0.652
Hg2 0.896 0.793 0.348
Ac1 0.614 0.228 0.324
Ac2 0.386 0.772 0.676
In1 0.298 0.596 0.128
In2 0.702 0.404 0.872
In3 0.000 0.000 0.000



Q: Among the records above, which one has the highest calculated volume?
A: AcScRu



Please write out number 3 again, unchanged.
A plane-wave DFT calculation with PBE was carried out for crystalline Ac2In3Hg2 at its relaxed geometry.

Values from the calculation:
- Calculated volume: 209.8 Å³ per cell
- ΔH_f (0 K): -394 meV/atom
- D(E_F): 4.354 states/eV/f.u.
- Symmetry: C2/m (12)
- Offset from the most stable computed form: 0.027 eV/atom
- E: -2.828 eV per atom

Unit cell a=4.806 b=6.385 c=7.477 alpha=98.52 beta=90.00 gamma=112.11
Positions (direct):
Hg1 0.104 0.207 0.652
Hg2 0.896 0.793 0.348
Ac1 0.614 0.228 0.324
Ac2 0.386 0.772 0.676
In1 0.298 0.596 0.128
In2 0.702 0.404 0.872
In3 0.000 0.000 0.000